Below is NpPa2TaN6 after structural relaxation, with properties calculated at the GGA-PBE level.

Values from the calculation:
**Formation energy (no corrections)**: -29.9 kcal/mol of atoms
**Space-group type**: R3, No. 146
**E**: -10.670 eV per atom

Cell lengths 5.8030, 5.8029, 5.9718 Å; angles 60.93, 60.93, 60.00 degrees
Element x y z (fractional)
Np: 0.8002 0.8002 0.5995
Pa: 0.5257 0.5257 0.4228
Pa: 0.0237 0.0237 0.9289
Ta: 0.3099 0.3099 0.0704
N: 0.5956 0.2049 0.2409
N: 0.2049 0.9586 0.2409
N: 0.9586 0.5956 0.2409
N: 0.4157 0.6942 0.7570
N: 0.6942 0.1331 0.7570
N: 0.1331 0.4157 0.7570